This record from the Open Quantum Materials Database describes KPmNO after structural relaxation. The functional is PBE. Values from VASP.

Properties
Symmetry: No. 12

```
&SYSTEM
  ibrav = 0, nat = 8, ntyp = 4
/
ATOMIC_SPECIES
K 39.10 K.upf
N 14.01 N.upf
O 16.00 O.upf
Pm 145.00 Pm.upf
CELL_PARAMETERS angstrom
-1.931 3.303 1.043
-0.089 1.210 -3.776
-7.712 -4.172 -1.136
ATOMIC_POSITIONS crystal
K 0.750 0.250 0.500
K 0.250 0.750 0.500
N 0.751 0.751 0.295
N 0.249 0.249 0.705
O 0.750 0.250 0.000
O 0.250 0.750 0.000
Pm 0.250 0.250 0.132
Pm 0.750 0.750 0.868
```

---

This record from the Open Quantum Materials Database describes KPrNO after structural relaxation. The functional is PBE. Values from VASP.

Properties
Symmetry: No. 26

```
&SYSTEM
  ibrav = 0, nat = 8, ntyp = 4
/
ATOMIC_SPECIES
N 14.01 N.upf
Pr 140.91 Pr.upf
O 16.00 O.upf
K 39.10 K.upf
CELL_PARAMETERS angstrom
-2.028 -1.421 -3.412
5.234 0.230 -3.206
1.504 -6.860 1.962
ATOMIC_POSITIONS crystal
N 0.000 0.935 0.303
N 0.000 0.435 0.697
Pr 0.500 0.994 0.168
Pr 0.500 0.494 0.832
O 0.500 0.356 0.117
O 0.500 0.856 0.883
K 0.000 0.468 0.319
K 0.000 0.968 0.681
```

---

This record from the Open Quantum Materials Database describes KPrNO after structural relaxation. The functional is PBE. Values from VASP.

Properties
Symmetry: No. 26

```
&SYSTEM
  ibrav = 0, nat = 8, ntyp = 4
/
ATOMIC_SPECIES
K 39.10 K.upf
O 16.00 O.upf
Pr 140.91 Pr.upf
N 14.01 N.upf
CELL_PARAMETERS angstrom
-1.945 -3.368 0.000
0.000 0.000 6.436
-6.522 3.766 0.000
ATOMIC_POSITIONS crystal
K 0.500 0.499 0.847
K 0.500 0.999 0.153
O 0.500 0.413 0.190
O 0.500 0.913 0.810
Pr 0.000 0.488 0.335
Pr 0.000 0.988 0.665
N 0.000 0.853 0.376
N 0.000 0.353 0.624
```

---

This record from the Open Quantum Materials Database describes KPrNO after structural relaxation. The functional is PBE. Values from VASP.

Properties
Symmetry: No. 29

```
&SYSTEM
  ibrav = 0, nat = 16, ntyp = 4
/
ATOMIC_SPECIES
N 14.01 N.upf
O 16.00 O.upf
Pr 140.91 Pr.upf
K 39.10 K.upf
CELL_PARAMETERS angstrom
7.082 0.000 0.000
0.000 8.668 0.000
0.000 0.000 6.339
ATOMIC_POSITIONS crystal
N 0.463 0.167 0.085
N 0.037 0.167 0.585
N 0.963 0.833 0.085
N 0.537 0.833 0.585
O 0.606 0.420 0.615
O 0.394 0.580 0.115
O 0.106 0.580 0.615
O 0.894 0.420 0.115
Pr 0.410 0.610 0.479
Pr 0.590 0.390 0.979
Pr 0.910 0.390 0.479
Pr 0.090 0.610 0.979
K 0.421 0.118 0.524
K 0.921 0.882 0.524
K 0.079 0.118 0.024
K 0.579 0.882 0.024
```

---

This record from the Open Quantum Materials Database describes KPrNO after structural relaxation. The functional is PBE. Values from VASP.

Properties
Symmetry: No. 129

```
&SYSTEM
  ibrav = 0, nat = 8, ntyp = 4
/
ATOMIC_SPECIES
N 14.01 N.upf
O 16.00 O.upf
K 39.10 K.upf
Pr 140.91 Pr.upf
CELL_PARAMETERS angstrom
4.034 0.000 0.000
0.000 4.034 0.000
0.000 0.000 8.979
ATOMIC_POSITIONS crystal
N 0.750 0.750 0.298
N 0.250 0.250 0.702
O 0.250 0.750 0.000
O 0.750 0.250 0.000
K 0.250 0.750 0.500
K 0.750 0.250 0.500
Pr 0.750 0.750 0.866
Pr 0.250 0.250 0.134
```

---

This record from the Open Quantum Materials Database describes KPrNO after structural relaxation. The functional is PBE. Values from VASP.

Properties
Symmetry: No. 123

```
&SYSTEM
  ibrav = 0, nat = 8, ntyp = 4
/
ATOMIC_SPECIES
Pr 140.91 Pr.upf
N 14.01 N.upf
O 16.00 O.upf
K 39.10 K.upf
CELL_PARAMETERS angstrom
-1.115 -2.441 -4.646
5.248 -0.548 -0.971
-0.030 -4.344 2.289
ATOMIC_POSITIONS crystal
Pr 0.250 0.750 0.500
Pr 0.750 0.250 0.500
N 0.750 0.750 0.500
N 0.250 0.250 0.500
O 0.250 0.750 0.000
O 0.750 0.250 0.000
K 0.750 0.750 0.000
K 0.250 0.250 0.000
```

---

This record from the Open Quantum Materials Database describes KTbNO after structural relaxation. The functional is PBE. Values from VASP.

Properties
Symmetry: No. 26

```
&SYSTEM
  ibrav = 0, nat = 8, ntyp = 4
/
ATOMIC_SPECIES
O 16.00 O.upf
Tb 158.93 Tb.upf
N 14.01 N.upf
K 39.10 K.upf
CELL_PARAMETERS angstrom
-3.562 -1.003 1.456
1.553 -5.967 -0.311
2.648 0.339 6.712
ATOMIC_POSITIONS crystal
O 0.500 0.346 0.109
O 0.500 0.846 0.891
Tb 0.500 0.503 0.844
Tb 0.500 0.003 0.156
N 0.000 0.932 0.298
N 0.000 0.432 0.702
K 0.000 0.474 0.326
K 0.000 0.974 0.674
```

---

This record from the Open Quantum Materials Database describes KTbNO after structural relaxation. The functional is PBE. Values from VASP.

Properties
Symmetry: No. 26

```
&SYSTEM
  ibrav = 0, nat = 8, ntyp = 4
/
ATOMIC_SPECIES
N 14.01 N.upf
Tb 158.93 Tb.upf
K 39.10 K.upf
O 16.00 O.upf
CELL_PARAMETERS angstrom
1.871 -1.535 -2.793
5.393 0.439 3.371
-1.237 -6.696 2.851
ATOMIC_POSITIONS crystal
N 0.000 0.840 0.390
N 0.000 0.340 0.610
Tb 0.000 0.992 0.664
Tb 0.000 0.492 0.336
K 0.500 0.501 0.842
K 0.500 0.001 0.158
O 0.500 0.922 0.807
O 0.500 0.422 0.193
```

---

This record from the Open Quantum Materials Database describes KTbNO after structural relaxation. The functional is PBE. Values from VASP.

Properties
Symmetry: No. 129

```
&SYSTEM
  ibrav = 0, nat = 8, ntyp = 4
/
ATOMIC_SPECIES
N 14.01 N.upf
O 16.00 O.upf
Tb 158.93 Tb.upf
K 39.10 K.upf
CELL_PARAMETERS angstrom
5.179 0.000 0.000
0.000 5.179 0.000
0.000 0.000 4.764
ATOMIC_POSITIONS crystal
N 0.000 0.500 0.501
N 0.500 0.000 0.499
O 0.500 0.500 0.000
O 0.000 0.000 0.000
Tb 0.500 0.500 0.500
Tb 0.000 0.000 0.500
K 0.500 0.000 0.999
K 0.000 0.500 0.001
```

---

This record from the Open Quantum Materials Database describes KTbNO after structural relaxation. The functional is PBE. Values from VASP.

Properties
Symmetry: No. 129

```
&SYSTEM
  ibrav = 0, nat = 8, ntyp = 4
/
ATOMIC_SPECIES
K 39.10 K.upf
O 16.00 O.upf
N 14.01 N.upf
Tb 158.93 Tb.upf
CELL_PARAMETERS angstrom
3.921 0.000 0.000
0.000 3.921 0.000
0.000 0.000 8.825
ATOMIC_POSITIONS crystal
K 0.000 0.000 0.500
K 0.500 0.500 0.500
O 0.000 0.000 0.000
O 0.500 0.500 0.000
N 0.000 0.500 0.708
N 0.500 0.000 0.292
Tb 0.000 0.500 0.125
Tb 0.500 0.000 0.875
```

---

This record from the Open Quantum Materials Database describes KTbNO after structural relaxation. The functional is PBE. Values from VASP.

Properties
Symmetry: No. 123

```
&SYSTEM
  ibrav = 0, nat = 8, ntyp = 4
/
ATOMIC_SPECIES
Tb 158.93 Tb.upf
K 39.10 K.upf
O 16.00 O.upf
N 14.01 N.upf
CELL_PARAMETERS angstrom
5.178 0.000 0.000
0.000 5.178 0.000
0.000 0.000 4.764
ATOMIC_POSITIONS crystal
Tb 0.750 0.250 0.500
Tb 0.250 0.750 0.500
K 0.250 0.250 0.000
K 0.750 0.750 0.000
O 0.750 0.250 0.000
O 0.250 0.750 0.000
N 0.250 0.250 0.500
N 0.750 0.750 0.500
```

---

This record from the Open Quantum Materials Database describes KTbNO after structural relaxation. The functional is PBE. Values from VASP.

Properties
Symmetry: No. 29

```
&SYSTEM
  ibrav = 0, nat = 16, ntyp = 4
/
ATOMIC_SPECIES
Tb 158.93 Tb.upf
N 14.01 N.upf
O 16.00 O.upf
K 39.10 K.upf
CELL_PARAMETERS angstrom
-3.699 5.664 0.452
-0.431 -0.977 8.713
5.082 3.270 0.618
ATOMIC_POSITIONS crystal
Tb 0.908 0.899 0.481
Tb 0.592 0.899 0.981
Tb 0.092 0.101 0.981
Tb 0.408 0.101 0.481
N 0.524 0.324 0.569
N 0.976 0.324 0.069
N 0.024 0.676 0.569
N 0.476 0.676 0.069
O 0.390 0.067 0.122
O 0.610 0.933 0.622
O 0.110 0.067 0.622
O 0.890 0.933 0.122
K 0.927 0.379 0.531
K 0.073 0.621 0.031
K 0.427 0.621 0.531
K 0.573 0.379 0.031
```

---

Table of E_tot (eV per cell), in record order: -45.1; -47.3; -47.2; -93.1; -45.0; -46.6; -48.1; -48.0; -46.7; -45.1; -46.7; -94.8